Entry from the Alexandria database: a relaxed structure of La2PrPdO5 (GGA-PBE).

Lattice parameters (Å, degrees): 5.9728 6.7519 6.7519 90.00 90.00 90.00
Last column: magnetic moment on the atom in μB.
Fractional positions:
1 La 0.5000 0.6640 0.1640  0.04
2 La 0.5000 0.1640 0.3360  0.04
3 La 0.5000 0.8360 0.6640  0.04
4 La 0.5000 0.3360 0.8360  0.04
5 Pr 0.0000 0.5000 0.5000  -0.01
6 Pr 0.0000 0.0000 0.0000  -0.01
7 Pd 0.0000 0.0000 0.5000  0.64
8 Pd 0.0000 0.5000 0.0000  0.64
9 O 0.5000 0.5000 0.5000  0.00
10 O 0.5000 0.0000 0.0000  0.00
11 O 0.2347 0.1689 0.6689  0.08
12 O 0.2347 0.8311 0.3311  0.08
13 O 0.2347 0.3311 0.1689  0.08
14 O 0.2347 0.6689 0.8311  0.08
15 O 0.7653 0.1689 0.6689  0.08
16 O 0.7653 0.6689 0.8311  0.08
17 O 0.7653 0.8311 0.3311  0.08
18 O 0.7653 0.3311 0.1689  0.08

Output
SG	P4/mbm, No. 127
E_form (uncorrected)	-22.76	eV per formula unit
volume	15.13	Å³/atom